Record 1
Below is a relaxed structure of Tm3Tl2Ni2, with properties calculated at the PBE level.

a b c (Å): 11.262 11.262 3.665
angles (deg): 90.00 90.00 160.65
Fractional coordinates of all 7 atoms:
1 Tm 0.000 0.000 0.000
2 Tm 0.178 0.822 0.000
3 Tm 0.822 0.178 0.000
4 Tl 0.412 0.588 0.500
5 Tl 0.588 0.412 0.500
6 Ni 0.282 0.718 0.500
7 Ni 0.718 0.282 0.500

Computed properties:
- Calculated formation energy: -3.06 eV per formula unit
- Density of states at the Fermi level: 0.495 states/eV per atom
- E: -4.681 eV/atom
- M_tot: 0.004 μB/f.u.

Record 2
Below is a relaxed structure of Tm3TlNi, with properties calculated at the PBE level.

a b c (Å): 7.527 7.527 5.150
angles (deg): 90.00 90.00 120.00
Fractional coordinates of all 10 atoms:
1 Tm 0.180 0.360 0.250
2 Tm 0.180 0.820 0.250
3 Tm 0.360 0.180 0.750
4 Tm 0.640 0.820 0.250
5 Tm 0.820 0.180 0.750
6 Tm 0.820 0.640 0.750
7 Tl 0.333 0.667 0.750
8 Tl 0.667 0.333 0.250
9 Ni 0.000 0.000 0.000
10 Ni 0.000 0.000 0.500

Computed properties:
- Calculated formation energy: -1.50 eV per formula unit
- ΔE to the lowest computed polymorph: 0.023 eV per atom
- Density of states at the Fermi level: 0.597 states/eV per atom
- E: -4.612 eV/atom
- M_tot: 0.000 μB/f.u.

Record 3
Below is a relaxed structure of Tm5TlNi, with properties calculated at the PBE level.

a b c (Å): 6.449 6.449 11.106
angles (deg): 107.19 107.19 62.30
Fractional coordinates of all 14 atoms:
1 Tm 0.015 0.985 0.750
2 Tm 0.041 0.397 0.637
3 Tm 0.205 0.549 0.956
4 Tm 0.397 0.041 0.137
5 Tm 0.451 0.795 0.544
6 Tm 0.549 0.205 0.456
7 Tm 0.603 0.959 0.863
8 Tm 0.795 0.451 0.044
9 Tm 0.959 0.603 0.363
10 Tm 0.985 0.015 0.250
11 Tl 0.473 0.527 0.250
12 Tl 0.527 0.473 0.750
13 Ni 0.000 0.000 0.000
14 Ni 0.000 0.000 0.500

Computed properties:
- Calculated formation energy: -0.65 eV per formula unit
- Density of states at the Fermi level: 1.059 states/eV per atom
- E: -4.451 eV/atom
- M_tot: 0.000 μB/f.u.

Record 4
Below is a relaxed structure of Tm3TlNi, with properties calculated at the PBE level.

a b c (Å): 5.132 5.132 5.132
angles (deg): 90.00 90.00 90.00
Fractional coordinates of all 5 atoms:
1 Tm 0.000 0.000 0.500
2 Tm 0.000 0.500 0.000
3 Tm 0.500 0.000 0.000
4 Tl 0.500 0.500 0.500
5 Ni 0.000 0.000 0.000

Computed properties:
- Calculated formation energy: -0.91 eV per formula unit
- ΔE to the lowest computed polymorph: 0.140 eV per atom
- Density of states at the Fermi level: 1.341 states/eV per atom
- E: -4.495 eV/atom
- M_tot: 0.000 μB/f.u.